Version A
GGA-PBE Na2TaCr, optimized geometry; V = 22.18 Å³ per atom; DOS(E_F) = 0.73 states/eV per atom
1.0
8.393 0.000 0.000
0.000 8.393 0.000
0.000 0.000 5.038
Na Ta Cr
8 4 4
Direct
0.221 0.250 0.125
0.250 0.721 0.375
0.250 0.779 0.875
0.279 0.250 0.625
0.721 0.750 0.625
0.750 0.221 0.875
0.750 0.279 0.375
0.779 0.750 0.125
0.000 0.000 0.500
0.000 0.500 0.750
0.500 0.000 0.250
0.500 0.500 0.000
0.000 0.000 0.000
0.000 0.500 0.250
0.500 0.000 0.750
0.500 0.500 0.500

---

Version B
GGA-PBE Na2TaCr, optimized geometry; V = 22.12 Å³ per atom; DOS(E_F) = 1.18 states/eV per atom
1.0
7.073 0.000 0.000
0.000 7.073 0.000
0.000 0.000 7.073
Na Ta Cr
8 4 4
Direct
0.250 0.250 0.250
0.250 0.250 0.750
0.250 0.750 0.250
0.250 0.750 0.750
0.750 0.250 0.250
0.750 0.250 0.750
0.750 0.750 0.250
0.750 0.750 0.750
0.000 0.000 0.000
0.000 0.500 0.500
0.500 0.000 0.500
0.500 0.500 0.000
0.000 0.000 0.500
0.000 0.500 0.000
0.500 0.000 0.000
0.500 0.500 0.500

---

The most stable of them is version A.

---

Version A
GGA-PBE NaCrTc3, optimized geometry; V = 16.76 Å³ per atom; DOS(E_F) = 1.59 states/eV per atom
1.0
4.376 0.000 0.000
0.000 4.376 0.000
0.000 0.000 4.376
Na Cr Tc
1 1 3
Direct
0.000 0.000 0.000
0.500 0.500 0.500
0.000 0.000 0.500
0.000 0.500 0.000
0.500 0.000 0.000

---

Version B
GGA-PBE NaCrTc3, optimized geometry; V = 18.46 Å³ per atom; DOS(E_F) = 0.87 states/eV per atom
1.0
4.520 0.000 0.000
0.000 4.520 0.000
0.000 0.000 4.520
Na Cr Tc
1 1 3
Direct
0.000 0.000 0.000
0.500 0.500 0.500
0.000 0.500 0.500
0.500 0.000 0.500
0.500 0.500 0.000

---

The most stable of them is version B.

---

Version A
GGA-PBE NaCrTc, optimized geometry; V = 19.82 Å³ per atom; DOS(E_F) = 0.85 states/eV per atom
1.0
2.846 0.000 0.000
0.000 3.936 0.000
-0.049 0.000 10.618
Na Cr Tc
2 2 2
Direct
0.000 0.000 0.000
0.499 0.500 0.725
0.000 0.000 0.508
0.503 0.500 0.442
0.002 0.000 0.296
0.505 0.500 0.211

---

Version B
GGA-PBE NaCrTc, optimized geometry; V = 16.59 Å³ per atom; DOS(E_F) = 0.47 states/eV per atom
1.0
2.775 0.000 0.000
1.333 2.435 0.000
0.680 0.116 14.730
Na Cr Tc
2 2 2
Direct
0.000 0.000 0.000
0.280 0.420 0.777
0.251 0.338 0.478
0.725 0.833 0.591
0.300 0.335 0.187
0.602 0.661 0.327

---

Version C
GGA-PBE NaCrTc, optimized geometry; V = 16.46 Å³ per atom; DOS(E_F) = 0.87 states/eV per atom
1.0
2.986 0.000 0.000
0.000 14.789 0.000
-0.006 0.000 4.472
Na Cr Tc
4 4 4
Direct
0.246 0.000 0.250
0.254 0.500 0.750
0.746 0.500 0.250
0.754 0.000 0.750
0.205 0.685 0.248
0.295 0.185 0.752
0.705 0.185 0.248
0.795 0.685 0.752
0.238 0.812 0.749
0.262 0.312 0.251
0.738 0.312 0.749
0.762 0.812 0.251

---

The most stable of them is version B.